(1)
Entry from Alexandria: LaCrGe2 after structural relaxation (PBE-GGA).

Cell: 8.996 8.996 8.996 Å, 148.33 148.33 45.40°
Element x y z (fractional)
La1 0.000 0.000 0.000
La2 0.750 0.250 0.500
Cr1 0.250 0.750 0.500
Cr2 0.500 0.500 0.000
Ge1 0.287 0.625 0.162
Ge2 0.375 0.537 0.662
Ge3 0.463 0.125 0.838
Ge4 0.875 0.713 0.338

Computed properties:
Its total magnetization is 0.7539 μB/atom. As for the calculated total energy: -6.036 eV per atom.

(2)
Entry from Alexandria: LaCrGe2 after structural relaxation (PBE-GGA).

Cell: 4.936 4.936 4.936 Å, 60.00 60.00 60.00°
Element x y z (fractional)
La1 0.000 0.000 0.000
Cr1 0.500 0.500 0.500
Ge1 0.250 0.250 0.250
Ge2 0.750 0.750 0.750

Computed properties:
Its total magnetization is 0.8679 μB/atom. As for the calculated total energy: -6.073 eV per atom.

(3)
Entry from Alexandria: LaCrNiGe2 after structural relaxation (PBE-GGA).

Cell: 4.595 4.595 4.632 Å, 90.00 90.00 90.00°
Element x y z (fractional)
La1 0.000 0.000 0.000
Cr1 0.500 0.500 0.500
Ni1 0.500 0.500 0.000
Ge1 0.000 0.500 0.500
Ge2 0.500 0.000 0.500

Computed properties:
Its total magnetization is 0.0000 μB/atom. As for the calculated total energy: -6.059 eV per atom.

(4)
Entry from Alexandria: LaCrGe2P after structural relaxation (PBE-GGA).

Cell: 4.618 4.618 5.308 Å, 90.00 90.00 90.00°
Element x y z (fractional)
La1 0.000 0.000 0.000
Cr1 0.000 0.000 0.500
Ge1 0.000 0.500 0.500
Ge2 0.500 0.000 0.500
P1 0.500 0.500 0.000

Computed properties:
Its total magnetization is 0.3540 μB/atom. As for the calculated total energy: -5.788 eV per atom.

| no. | formation energy (kcal/mol of atoms) |
| --- | --- |
| 1 | -2.1 |
| 2 | -2.9 |
| 3 | -3.4 |
| 4 | 1.2 |